# 1
# HgSe2NF (PBE-GGA, relaxed)
# Relative energy among the computed polymorphs in meV/atom: 123.9
# E_tot in eV per atom: -2.226
# E_form (uncorrected) in eV/atom: 1.268
# DOS at the Fermi energy in states/eV per atom: 0.4078
data_HgSe2NF
_chemical_formula_sum 'Hg1 Se2 N1 F1'
_space_group_name_H-M_alt 'P 4/m m m'
_space_group_IT_number 123
_space_group_name_Hall '-P 4 2'
_cell_length_a 5.466
_cell_length_b 5.466
_cell_length_c 4.209
_cell_angle_alpha 90.00
_cell_angle_beta 90.00
_cell_angle_gamma 90.00
loop_
_atom_site_label
_atom_site_type_symbol
_atom_site_fract_x
_atom_site_fract_y
_atom_site_fract_z
_atom_site_occupancy
Hg1 Hg 0.000 0.000 0.000 1
Se1 Se 0.000 0.500 0.000 1
N1 N 0.000 0.000 0.500 1
F1 F 0.500 0.500 0.500 1

# 2
# HgSeN2F (PBE-GGA, relaxed)
# Relative energy among the computed polymorphs in meV/atom: 0.0
# E_tot in eV per atom: -3.427
# E_form (uncorrected) in eV/atom: 1.035
# DOS at the Fermi energy in states/eV per atom: 0.4029
data_HgSeN2F
_chemical_formula_sum 'Hg1 Se1 N2 F1'
_space_group_name_H-M_alt 'P 4/m m m'
_space_group_IT_number 123
_space_group_name_Hall '-P 4 2'
_cell_length_a 3.954
_cell_length_b 3.954
_cell_length_c 4.265
_cell_angle_alpha 90.00
_cell_angle_beta 90.00
_cell_angle_gamma 90.00
loop_
_atom_site_label
_atom_site_type_symbol
_atom_site_fract_x
_atom_site_fract_y
_atom_site_fract_z
_atom_site_occupancy
Hg1 Hg 0.000 0.000 0.000 1
Se1 Se 0.500 0.500 0.500 1
N1 N 0.000 0.500 0.500 1
F1 F 0.500 0.500 0.000 1

# 3
# SiHgNF2 (PBE-GGA, relaxed)
# Relative energy among the computed polymorphs in meV/atom: 0.0
# E_tot in eV per atom: -4.416
# E_form (uncorrected) in eV/atom: -0.857
# DOS at the Fermi energy in states/eV per atom: 0.5104
data_SiHgNF2
_chemical_formula_sum 'Si1 Hg1 N1 F2'
_space_group_name_H-M_alt 'P 4/m m m'
_space_group_IT_number 123
_space_group_name_Hall '-P 4 2'
_cell_length_a 4.388
_cell_length_b 4.388
_cell_length_c 3.263
_cell_angle_alpha 90.00
_cell_angle_beta 90.00
_cell_angle_gamma 90.00
loop_
_atom_site_label
_atom_site_type_symbol
_atom_site_fract_x
_atom_site_fract_y
_atom_site_fract_z
_atom_site_occupancy
Si1 Si 0.000 0.000 0.000 1
Hg1 Hg 0.500 0.500 0.500 1
N1 N 0.000 0.000 0.500 1
F1 F 0.000 0.500 0.000 1

# 4
# SiHgNF2 (PBE-GGA, relaxed)
# Relative energy among the computed polymorphs in meV/atom: 1312.3
# E_tot in eV per atom: -3.104
# E_form (uncorrected) in eV/atom: 0.455
# DOS at the Fermi energy in states/eV per atom: 0.4781
data_SiHgNF2
_chemical_formula_sum 'Si1 Hg1 N1 F2'
_space_group_name_H-M_alt 'P 4/m m m'
_space_group_IT_number 123
_space_group_name_Hall '-P 4 2'
_cell_length_a 4.483
_cell_length_b 4.483
_cell_length_c 4.236
_cell_angle_alpha 90.00
_cell_angle_beta 90.00
_cell_angle_gamma 90.00
loop_
_atom_site_label
_atom_site_type_symbol
_atom_site_fract_x
_atom_site_fract_y
_atom_site_fract_z
_atom_site_occupancy
Si1 Si 0.000 0.000 0.000 1
Hg1 Hg 0.500 0.500 0.500 1
N1 N 0.500 0.500 0.000 1
F1 F 0.000 0.500 0.500 1

# 5
# SrHgNF2 (PBE-GGA, relaxed)
# Relative energy among the computed polymorphs in meV/atom: 26.7
# E_tot in eV per atom: -3.848
# E_form (uncorrected) in eV/atom: -1.038
# DOS at the Fermi energy in states/eV per atom: 0.2490
data_SrHgNF2
_chemical_formula_sum 'Sr1 Hg1 N1 F2'
_space_group_name_H-M_alt 'P 4/m m m'
_space_group_IT_number 123
_space_group_name_Hall '-P 4 2'
_cell_length_a 4.790
_cell_length_b 4.790
_cell_length_c 4.074
_cell_angle_alpha 90.00
_cell_angle_beta 90.00
_cell_angle_gamma 90.00
loop_
_atom_site_label
_atom_site_type_symbol
_atom_site_fract_x
_atom_site_fract_y
_atom_site_fract_z
_atom_site_occupancy
Sr1 Sr 0.000 0.000 0.000 1
Hg1 Hg 0.500 0.500 0.500 1
N1 N 0.500 0.500 0.000 1
F1 F 0.000 0.500 0.500 1

# 6
# SrHgNF2 (PBE-GGA, relaxed)
# Relative energy among the computed polymorphs in meV/atom: 0.0
# E_tot in eV per atom: -3.875
# E_form (uncorrected) in eV/atom: -1.065
# DOS at the Fermi energy in states/eV per atom: 0.0344
data_SrHgNF2
_chemical_formula_sum 'Sr1 Hg1 N1 F2'
_space_group_name_H-M_alt 'P 4/m m m'
_space_group_IT_number 123
_space_group_name_Hall '-P 4 2'
_cell_length_a 4.674
_cell_length_b 4.674
_cell_length_c 5.985
_cell_angle_alpha 90.00
_cell_angle_beta 90.00
_cell_angle_gamma 90.00
loop_
_atom_site_label
_atom_site_type_symbol
_atom_site_fract_x
_atom_site_fract_y
_atom_site_fract_z
_atom_site_occupancy
Sr1 Sr 0.000 0.000 0.000 1
Hg1 Hg 0.500 0.500 0.500 1
N1 N 0.000 0.000 0.500 1
F1 F 0.000 0.500 0.000 1

# 7
# TaHgNF2 (PBE-GGA, relaxed)
# Relative energy among the computed polymorphs in meV/atom: 0.0
# E_tot in eV per atom: -6.075
# E_form (uncorrected) in eV/atom: -1.230
# DOS at the Fermi energy in states/eV per atom: 0.3662
data_TaHgNF2
_chemical_formula_sum 'Ta1 Hg1 N1 F2'
_space_group_name_H-M_alt 'P 4/m m m'
_space_group_IT_number 123
_space_group_name_Hall '-P 4 2'
_cell_length_a 4.282
_cell_length_b 4.282
_cell_length_c 4.016
_cell_angle_alpha 90.00
_cell_angle_beta 90.00
_cell_angle_gamma 90.00
loop_
_atom_site_label
_atom_site_type_symbol
_atom_site_fract_x
_atom_site_fract_y
_atom_site_fract_z
_atom_site_occupancy
Ta1 Ta 0.000 0.000 0.000 1
Hg1 Hg 0.500 0.500 0.500 1
N1 N 0.000 0.000 0.500 1
F1 F 0.000 0.500 0.000 1

# 8
# TaHgNF2 (PBE-GGA, relaxed)
# Relative energy among the computed polymorphs in meV/atom: 2038.1
# E_tot in eV per atom: -4.037
# E_form (uncorrected) in eV/atom: 0.808
# DOS at the Fermi energy in states/eV per atom: 1.2662
data_TaHgNF2
_chemical_formula_sum 'Ta1 Hg1 N1 F2'
_space_group_name_H-M_alt 'P 4/m m m'
_space_group_IT_number 123
_space_group_name_Hall '-P 4 2'
_cell_length_a 4.345
_cell_length_b 4.345
_cell_length_c 4.362
_cell_angle_alpha 90.00
_cell_angle_beta 90.00
_cell_angle_gamma 90.00
loop_
_atom_site_label
_atom_site_type_symbol
_atom_site_fract_x
_atom_site_fract_y
_atom_site_fract_z
_atom_site_occupancy
Ta1 Ta 0.000 0.000 0.000 1
Hg1 Hg 0.500 0.500 0.500 1
N1 N 0.500 0.500 0.000 1
F1 F 0.000 0.500 0.500 1